DFT (PBE) results for a relaxed structure of CuSiW.

Energy relative to the elements, uncorrected: 0.211 eV/atom
Total DFT energy (no corrections): -7.280 eV per atom
Relative energy among the computed polymorphs: 0.104 eV per atom
Size of the total moment: 0.0 Bohr magnetons per cell

Cell lengths 2.7883, 2.7883, 6.2932 Å; angles 90.00, 90.00, 120.00 degrees
With the nearest neighbours (Å) after each atom.
Space group P3m1 (No. 156)
Unique sites:
Cu 0.0000 0.0000 0.0000 [1 per cell]  3 Si 2.52, 3 W 2.75, 6 Cu 2.79
Si 0.6667 0.3333 0.3085 [1 per cell]  3 Cu 2.52, 3 W 2.66, 6 Si 2.79
W 0.3333 0.6667 0.6451 [1 per cell]  3 Si 2.66, 3 Cu 2.75, 6 W 2.79

DFT (PBE) results for a relaxed structure of Tb3PrIn2.

Total DFT energy (no corrections): -4.377 eV per atom
Relative energy among the computed polymorphs: 0.000 eV per atom
ΔE_f: -0.352 eV per atom
Size of the total moment: 0.0 Bohr magnetons per cell

Cell lengths 5.2641, 9.9678, 6.7833 Å; angles 90.00, 90.00, 90.00 degrees
With the nearest neighbours (Å) after each atom.
Space group Pmc2_1 (No. 26)
Unique sites:
Tb 0.0000 0.0406 0.0000 [2 per cell]  5 In 3.27-3.62, 5 Tb 3.49-3.61
Tb 0.0000 0.3149 0.3486 [2 per cell]  4 In 3.22-3.31, 2 Pr 3.54
Tb 0.5000 0.1772 0.7193 [2 per cell]  4 In 3.16-3.24, 2 Tb 3.52
Pr 0.5000 0.4616 0.0732 [2 per cell]  5 In 3.32-3.62, 2 Pr 3.48, 3 Tb 3.54-3.71
In 0.0000 0.3539 0.8192 [2 per cell]  5 Tb 3.22-3.35, 2 Pr 3.32
In 0.5000 0.1397 0.2467 [2 per cell]  6 Tb 3.16-3.27, 1 Pr 3.42

DFT (PBE) results for a relaxed structure of AcHo2Cd2.

Total DFT energy (no corrections): -3.111 eV per atom
ΔE_f: -0.092 eV per atom
Size of the total moment: 0.0 Bohr magnetons per cell

Cell lengths 3.8828, 21.2419, 3.7918 Å; angles 90.00, 90.00, 90.00 degrees
With the nearest neighbours (Å) after each atom.
Space group Cmmm (No. 65)
Unique sites:
Ac 0.0000 0.0000 0.0000 [2 per cell]  8 Cd 3.53, 4 Ac 3.79-3.88, 2 Ho 3.88
Ho 0.0000 0.1828 0.0000 [4 per cell]  4 Cd 3.16, 2 Ho 3.45
Cd 0.0000 0.3935 0.5000 [4 per cell]  4 Ho 3.16, 4 Ac 3.53

DFT (PBE) results for a relaxed structure of NaSr6Mg.

Total DFT energy (no corrections): -1.619 eV per atom
Relative energy among the computed polymorphs: 0.000 eV per atom
ΔE_f: 0.006 eV per atom
Size of the total moment: 0.0 Bohr magnetons per cell

Cell lengths 6.0601, 6.0601, 20.9014 Å; angles 90.00, 90.00, 90.00 degrees
With the nearest neighbours (Å) after each atom.
Space group I4/mmm (No. 139)
Unique sites:
Na 0.0000 0.0000 0.0000 [2 per cell]  8 Sr 3.74
Sr 0.0000 0.0000 0.2502 [4 per cell]  12 Sr 4.29
Sr 0.0000 0.5000 0.1048 [8 per cell]  2 Na 3.74, 2 Mg 3.74
Mg 0.0000 0.0000 0.5000 [2 per cell]  8 Sr 3.74

DFT (PBE) results for a relaxed structure of La2CrMo.

Total DFT energy (no corrections): -7.222 eV per atom
Relative energy among the computed polymorphs: 0.000 eV per atom
ΔE_f: 0.356 eV per atom
Size of the total moment: 0.4 Bohr magnetons per cell

Cell lengths 3.2360, 3.2360, 9.0414 Å; angles 90.00, 90.00, 90.00 degrees
With the nearest neighbours (Å) after each atom.
Space group P4mm (No. 99)
Unique sites:
La 0.0000 0.0000 0.0000 [1 per cell]  4 Cr 3.16, 4 La 3.24, 1 Mo 3.34
La 0.5000 0.5000 0.3819 [1 per cell]  4 Mo 3.21, 4 La 3.24, 1 Cr 3.41
Cr 0.5000 0.5000 0.7592 [1 per cell]  4 Mo 2.57
Mo 0.0000 0.0000 0.6305 [1 per cell]  4 Cr 2.57

DFT (PBE) results for a relaxed structure of Li2Hg2Rh.

Total DFT energy (no corrections): -2.455 eV per atom
Relative energy among the computed polymorphs: 0.000 eV per atom
ΔE_f: -0.099 eV per atom
Size of the total moment: 0.0 Bohr magnetons per cell

Cell lengths 6.9729, 6.9729, 3.2961 Å; angles 90.00, 90.00, 90.00 degrees
With the nearest neighbours (Å) after each atom.
Space group P4/mbm (No. 127)
Unique sites:
Li 0.1337 0.3663 0.0000 [4 per cell]  6 Hg 2.55-2.69, 1 Li 2.64, 2 Rh 2.72
Hg 0.1689 0.6689 0.5000 [4 per cell]  6 Li 2.55-2.69
Rh 0.0000 0.0000 0.0000 [2 per cell]  4 Li 2.72

DFT (PBE) results for a relaxed structure of TePb.

Energy relative to the elements, uncorrected: -0.408 eV/atom
Total DFT energy (no corrections): -3.833 eV per atom
Size of the total moment: 0.0 Bohr magnetons per cell

Cell lengths 6.5550, 6.5550, 6.5550 Å; angles 90.00, 90.00, 90.00 degrees
With the nearest neighbours (Å) after each atom.
Space group Fm-3m (No. 225)
Unique sites:
Te 0.0000 0.0000 0.0000 [4 per cell]  6 Pb 3.28
Pb 0.0000 0.0000 0.5000 [4 per cell]  6 Te 3.28

DFT (PBE) results for a relaxed structure of CaScCd4.

Total DFT energy (no corrections): -2.210 eV per atom
Relative energy among the computed polymorphs: 0.055 eV per atom
ΔE_f: -0.211 eV per atom
Size of the total moment: 0.0 Bohr magnetons per cell

Cell lengths 8.2993, 8.2993, 8.2993 Å; angles 90.00, 90.00, 90.00 degrees
With the nearest neighbours (Å) after each atom.
Space group F-43m (No. 216)
Unique sites:
Ca 0.0000 0.0000 0.0000 [4 per cell]  12 Cd 3.44, 4 Sc 3.59
Sc 0.2500 0.2500 0.2500 [4 per cell]  12 Cd 3.44, 4 Ca 3.59
Cd 0.1245 0.1245 0.6245 [16 per cell]  6 Cd 2.92-2.95

DFT (PBE) results for a relaxed structure of LiSmAl4.

Total DFT energy (no corrections): -3.873 eV per atom
ΔE_f: -0.272 eV per atom
Size of the total moment: 0.0 Bohr magnetons per cell

Cell lengths 7.8274, 7.8274, 7.8274 Å; angles 90.00, 90.00, 90.00 degrees
With the nearest neighbours (Å) after each atom.
Space group F-43m (No. 216)
Unique sites:
Li 0.0000 0.0000 0.0000 [4 per cell]  12 Al 3.25, 4 Sm 3.39
Sm 0.2500 0.2500 0.7500 [4 per cell]  12 Al 3.24, 4 Li 3.39
Al 0.1246 0.1246 0.3754 [16 per cell]  6 Al 2.76-2.78

DFT (PBE) results for a relaxed structure of HoMgGeRh.

Total DFT energy (no corrections): -5.095 eV per atom
ΔE_f: -0.559 eV per atom
Size of the total moment: 0.0 Bohr magnetons per cell

Cell lengths 6.7027, 6.7027, 6.7027 Å; angles 90.00, 90.00, 90.00 degrees
With the nearest neighbours (Å) after each atom.
Space group F-43m (No. 216)
Unique sites:
Ho 0.0000 0.0000 0.0000 [4 per cell]  4 Ge 2.90, 4 Rh 2.90
Mg 0.0000 0.0000 0.5000 [4 per cell]  4 Rh 2.90, 4 Ge 2.90
Ge 0.2500 0.2500 0.2500 [4 per cell]  4 Ho 2.90, 4 Mg 2.90
Rh 0.2500 0.2500 0.7500 [4 per cell]  4 Ho 2.90, 4 Mg 2.90

DFT (PBE) results for a relaxed structure of OsPbCl2.

Energy relative to the elements, uncorrected: 0.875 eV/atom
Total DFT energy (no corrections): -3.783 eV per atom
Relative energy among the computed polymorphs: 0.763 eV per atom
Size of the total moment: 5.0 Bohr magnetons per cell

Cell lengths 4.1156, 4.1156, 10.4735 Å; angles 90.00, 90.00, 90.00 degrees
With the nearest neighbours (Å) after each atom.
Space group I-4m2 (No. 119)
Unique sites:
Os 0.0000 0.0000 0.0000 [2 per cell]  4 Cl 2.91
Pb 0.0000 0.5000 0.7500 [2 per cell]  4 Cl 2.91
Cl 0.0000 0.0000 0.5000 [2 per cell]  4 Os 2.91
Cl 0.0000 0.5000 0.2500 [2 per cell]  4 Pb 2.91

DFT (PBE) results for a relaxed structure of InFePt.

Total DFT energy (no corrections): -5.816 eV per atom
ΔE_f: -0.069 eV per atom
Size of the total moment: 5.9 Bohr magnetons per cell

Cell lengths 2.8990, 3.8151, 8.8177 Å; angles 90.00, 90.00, 90.00 degrees
With the nearest neighbours (Å) after each atom.
Space group Imm2 (No. 44)
Unique sites:
In 0.0000 0.0000 0.0000 [2 per cell]  5 Fe 2.83-2.90, 5 Pt 2.84-2.86, 2 In 2.90
Fe 0.0000 0.0000 0.3290 [2 per cell]  4 Pt 2.74, 5 In 2.83-2.90, 2 Fe 2.90
Pt 0.0000 0.0000 0.6775 [2 per cell]  4 Fe 2.74, 5 In 2.84-2.86, 2 Pt 2.90